w:
ZnNiSnTe3: optimized geometry, PBE-GGA.

Cell: 8.0986 8.0986 9.6881 Å, 90.00 90.00 151.56°
With the nearest neighbours (Å) after each atom.
Atoms (fractional coordinates):
1 Zn 0.0000 0.0000 0.0000  2 Te 2.70
2 Zn 0.0000 0.0000 0.5000  2 Te 2.70
3 Ni 0.4719 0.5281 0.7500  4 Te 2.55-2.57
4 Ni 0.5281 0.4719 0.2500  4 Te 2.55-2.57
5 Sn 0.2421 0.7579 0.2500  6 Te 3.13-3.49
6 Sn 0.7579 0.2421 0.7500  6 Te 3.13-3.49
7 Te 0.0754 0.9246 0.7500  2 Ni 2.57, 2 Zn 2.70
8 Te 0.3584 0.6416 0.5620  1 Ni 2.55
9 Te 0.3584 0.6416 0.9380  1 Ni 2.55
10 Te 0.6416 0.3584 0.0620  1 Ni 2.55
11 Te 0.6416 0.3584 0.4380  1 Ni 2.55
12 Te 0.9246 0.0754 0.2500  2 Ni 2.57, 2 Zn 2.70

x:
ZnNiSnTe3: optimized geometry, PBE-GGA.

Cell: 7.2501 7.2501 10.6612 Å, 90.00 90.00 147.66°
With the nearest neighbours (Å) after each atom.
Atoms (fractional coordinates):
1 Zn 0.0351 0.9649 0.7500  4 Te 2.61-2.64
2 Zn 0.9649 0.0351 0.2500  4 Te 2.61-2.64
3 Ni 0.5000 0.5000 0.0000  6 Te 2.72-2.93
4 Ni 0.5000 0.5000 0.5000  6 Te 2.72-2.93
5 Sn 0.2650 0.7350 0.2500  6 Te 3.20-3.38, 2 Zn 3.44
6 Sn 0.7350 0.2650 0.7500  6 Te 3.20-3.38, 2 Zn 3.44
7 Te 0.1281 0.8719 0.5376  1 Zn 2.61, 2 Ni 2.72
8 Te 0.1281 0.8719 0.9624  1 Zn 2.61, 2 Ni 2.72
9 Te 0.4129 0.5871 0.7500  2 Zn 2.64, 2 Ni 2.93
10 Te 0.5871 0.4129 0.2500  2 Zn 2.64, 2 Ni 2.93
11 Te 0.8719 0.1281 0.0376  1 Zn 2.61, 2 Ni 2.72
12 Te 0.8719 0.1281 0.4624  1 Zn 2.61, 2 Ni 2.72

The structure with the most favorable energy is x; the runner-up is 0.011 eV/atom above it.

w:
NiSnW: optimized geometry, PBE-GGA.

Cell: 4.3594 4.3594 4.3594 Å, 60.00 60.00 60.00°
With the nearest neighbours (Å) after each atom.
Atoms (fractional coordinates):
1 Ni 0.0000 0.0000 0.0000  4 W 2.67
2 Sn 0.5000 0.5000 0.5000  4 W 2.67
3 W 0.2500 0.2500 0.2500  4 Sn 2.67, 4 Ni 2.67

x:
NiSnW: optimized geometry, PBE-GGA.

Cell: 4.1920 4.1920 4.1920 Å, 60.00 60.00 60.00°
With the nearest neighbours (Å) after each atom.
Atoms (fractional coordinates):
1 Ni 0.0000 0.0000 0.0000  4 Sn 2.57, 4 W 2.57
2 Sn 0.7500 0.7500 0.7500  4 Ni 2.57
3 W 0.2500 0.2500 0.2500  4 Ni 2.57

The structure with the most favorable energy is x; the runner-up is 0.398 eV/atom above it.

w:
Zr3Ni2Sn3: optimized geometry, PBE-GGA.

Cell: 5.2688 5.9656 5.9656 Å, 59.87 90.00 90.00°
With the nearest neighbours (Å) after each atom.
Atoms (fractional coordinates):
1 Zr 0.0000 0.0000 0.0000  4 Sn 2.93-3.03, 4 Ni 2.95-2.99, 4 Zr 3.27
2 Zr 0.5000 0.3690 0.8711  4 Sn 2.90-3.07, 2 Zr 2.96-2.99, 4 Ni 2.97-3.19
3 Zr 0.5000 0.8711 0.3690  4 Sn 2.90-3.07, 2 Zr 2.96-2.99, 4 Ni 2.97-3.19
4 Ni 0.0000 0.5248 0.5248  4 Sn 2.80-3.03, 2 Zr 2.99
5 Ni 0.5000 0.8708 0.8708  6 Zr 2.95-2.99, 6 Sn 2.98-3.25
6 Sn 0.0000 0.0018 0.5077  1 Ni 2.80, 4 Zr 2.93-3.03, 2 Sn 2.94-3.01
7 Sn 0.0000 0.5077 0.0018  1 Ni 2.80, 4 Zr 2.93-3.03, 2 Sn 2.94-3.01
8 Sn 0.5000 0.3797 0.3797  4 Zr 2.90-3.07, 4 Ni 2.98-3.03

x:
Zr3Ni2Sn3: optimized geometry, PBE-GGA.

Cell: 5.9519 4.2835 6.4422 Å, 90.00 109.77 90.00°
With the nearest neighbours (Å) after each atom.
Atoms (fractional coordinates):
1 Zr 0.0000 0.0000 0.0000  3 Ni 2.72-2.80, 5 Sn 2.96-3.03
2 Zr 0.0302 0.0000 0.5019  6 Sn 2.96-3.12, 3 Ni 3.03-3.32, 2 Zr 3.18-3.27
3 Zr 0.6661 0.5000 0.6741  5 Sn 2.91-3.18, 3 Ni 3.01-3.03, 2 Zr 3.18
4 Ni 0.2210 0.5000 0.2723  3 Sn 2.57-2.61, 2 Zr 2.80
5 Ni 0.5248 0.0000 0.9391  5 Sn 2.69-2.82, 1 Zr 2.72
6 Sn 0.2337 0.5000 0.8296  3 Ni 2.69-2.88, 4 Zr 2.96
7 Sn 0.4738 0.0000 0.3592  3 Ni 2.57-2.82
8 Sn 0.7583 0.5000 0.1814  3 Ni 2.61-2.74

y:
Zr3Ni2Sn3: optimized geometry, PBE-GGA.

Cell: 6.3493 6.3493 4.5297 Å, 90.00 90.00 120.00°
With the nearest neighbours (Å) after each atom.
Atoms (fractional coordinates):
1 Zr 0.1717 0.3434 0.0000  4 Ni 2.88-3.18, 4 Sn 2.96, 2 Zr 3.08
2 Zr 0.1717 0.8283 0.0000  4 Ni 2.88-3.18, 4 Sn 2.96, 2 Zr 3.08
3 Zr 0.6566 0.8283 0.0000  4 Ni 2.88-3.18, 4 Sn 2.96, 2 Zr 3.08
4 Ni 0.3333 0.6667 0.5000  6 Zr 2.88, 6 Sn 3.18
5 Ni 0.6667 0.3333 0.0000  6 Sn 2.85, 6 Zr 3.18
6 Sn 0.3524 0.1762 0.5000  4 Ni 2.85-3.18, 4 Zr 2.96, 2 Sn 2.99
7 Sn 0.8238 0.1762 0.5000  4 Ni 2.85-3.18, 4 Zr 2.96, 2 Sn 2.99
8 Sn 0.8238 0.6476 0.5000  4 Ni 2.85-3.18, 4 Zr 2.96, 2 Sn 2.99

The structure with the most favorable energy is x; the runner-up is 0.239 eV/atom above it.

w:
Ta7Ni5: optimized geometry, PBE-GGA.

Cell: 5.1540 5.1540 16.5645 Å, 90.00 90.00 120.00°
With the nearest neighbours (Å) after each atom.
Atoms (fractional coordinates):
1 Ta 0.0000 0.5000 0.0000  6 Ta 2.58-2.77
2 Ta 0.0000 0.5000 0.5000  6 Ta 2.58-2.77
3 Ta 0.3333 0.6667 0.1412  3 Ni 2.43
4 Ta 0.3333 0.6667 0.3588  3 Ni 2.43
5 Ta 0.3333 0.6667 0.6632  7 Ta 2.87-3.09, 6 Ni 2.95
6 Ta 0.3333 0.6667 0.8368  7 Ta 2.87-3.09, 6 Ni 2.95
7 Ta 0.5000 0.0000 0.0000  6 Ta 2.58-2.77
8 Ta 0.5000 0.0000 0.5000  6 Ta 2.58-2.77
9 Ta 0.5000 0.5000 0.0000  6 Ta 2.58-2.77
10 Ta 0.5000 0.5000 0.5000  6 Ta 2.58-2.77
11 Ta 0.6667 0.3333 0.1632  7 Ta 2.87-3.09, 6 Ni 2.95
12 Ta 0.6667 0.3333 0.3368  7 Ta 2.87-3.09, 6 Ni 2.95
13 Ta 0.6667 0.3333 0.6412  3 Ni 2.43
14 Ta 0.6667 0.3333 0.8588  3 Ni 2.43
15 Ni 0.0000 0.0000 0.0875  4 Ni 2.90-3.01, 12 Ta 2.96-3.23
16 Ni 0.0000 0.0000 0.4125  4 Ni 2.90-3.01, 12 Ta 2.96-3.23
17 Ni 0.0000 0.0000 0.5875  4 Ni 2.90-3.01, 12 Ta 2.96-3.23
18 Ni 0.0000 0.0000 0.9125  4 Ni 2.90-3.01, 12 Ta 2.96-3.23
19 Ni 0.1511 0.3022 0.2500  2 Ni 2.34, 2 Ta 2.43
20 Ni 0.1511 0.8489 0.2500  2 Ni 2.34, 2 Ta 2.43
21 Ni 0.3022 0.1511 0.7500  2 Ni 2.34, 2 Ta 2.43
22 Ni 0.6978 0.8489 0.2500  2 Ni 2.34, 2 Ta 2.43
23 Ni 0.8489 0.1511 0.7500  2 Ni 2.34, 2 Ta 2.43
24 Ni 0.8489 0.6978 0.7500  2 Ni 2.34, 2 Ta 2.43

x:
Ta7Ni5: optimized geometry, PBE-GGA.

Cell: 5.2290 5.2290 16.4008 Å, 90.00 90.00 120.00°
With the nearest neighbours (Å) after each atom.
Atoms (fractional coordinates):
1 Ta 0.0000 0.0000 0.1001  6 Ni 2.80-3.12, 9 Ta 3.09-3.10
2 Ta 0.0000 0.0000 0.3999  6 Ni 2.80-3.12, 9 Ta 3.09-3.10
3 Ta 0.0000 0.0000 0.6001  6 Ni 2.80-3.12, 9 Ta 3.09-3.10
4 Ta 0.0000 0.0000 0.8999  6 Ni 2.80-3.12, 9 Ta 3.09-3.10
5 Ta 0.0000 0.5000 0.0000  6 Ta 2.61-2.79, 2 Ni 2.87
6 Ta 0.0000 0.5000 0.5000  6 Ta 2.61-2.79, 2 Ni 2.87
7 Ta 0.3333 0.6667 0.1432  3 Ni 2.43
8 Ta 0.3333 0.6667 0.3568  3 Ni 2.43
9 Ta 0.5000 0.0000 0.0000  6 Ta 2.61-2.79, 2 Ni 2.87
10 Ta 0.5000 0.0000 0.5000  6 Ta 2.61-2.79, 2 Ni 2.87
11 Ta 0.5000 0.5000 0.0000  6 Ta 2.61-2.79, 2 Ni 2.87
12 Ta 0.5000 0.5000 0.5000  6 Ta 2.61-2.79, 2 Ni 2.87
13 Ta 0.6667 0.3333 0.6432  3 Ni 2.43
14 Ta 0.6667 0.3333 0.8568  3 Ni 2.43
15 Ni 0.1477 0.2954 0.2500  2 Ni 2.32, 2 Ta 2.43
16 Ni 0.1477 0.8523 0.2500  2 Ni 2.32, 2 Ta 2.43
17 Ni 0.2954 0.1477 0.7500  2 Ni 2.32, 2 Ta 2.43
18 Ni 0.3333 0.6667 0.6492  9 Ta 2.87-3.12, 6 Ni 3.10
19 Ni 0.3333 0.6667 0.8508  9 Ta 2.87-3.12, 6 Ni 3.10
20 Ni 0.6667 0.3333 0.1492  9 Ta 2.87-3.12, 6 Ni 3.10
21 Ni 0.6667 0.3333 0.3508  9 Ta 2.87-3.12, 6 Ni 3.10
22 Ni 0.7046 0.8523 0.2500  2 Ni 2.32, 2 Ta 2.43
23 Ni 0.8523 0.1477 0.7500  2 Ni 2.32, 2 Ta 2.43
24 Ni 0.8523 0.7046 0.7500  2 Ni 2.32, 2 Ta 2.43

y:
Ta7Ni5: optimized geometry, PBE-GGA.

Cell: 5.1329 5.1329 16.8601 Å, 90.00 90.00 120.00°
With the nearest neighbours (Å) after each atom.
Atoms (fractional coordinates):
1 Ta 0.0000 0.0000 0.0905  9 Ni 2.99-3.15, 7 Ta 2.99-3.06
2 Ta 0.0000 0.0000 0.4095  9 Ni 2.99-3.15, 7 Ta 2.99-3.06
3 Ta 0.0000 0.0000 0.5905  9 Ni 2.99-3.15, 7 Ta 2.99-3.06
4 Ta 0.0000 0.0000 0.9095  9 Ni 2.99-3.15, 7 Ta 2.99-3.06
5 Ta 0.1646 0.3293 0.2500  6 Ta 2.54-2.76
6 Ta 0.1646 0.8354 0.2500  6 Ta 2.54-2.76
7 Ta 0.3293 0.1646 0.7500  6 Ta 2.54-2.76
8 Ta 0.3333 0.6667 0.1127  3 Ni 2.41
9 Ta 0.3333 0.6667 0.3873  3 Ni 2.41
10 Ta 0.6667 0.3333 0.6127  3 Ni 2.41
11 Ta 0.6667 0.3333 0.8873  3 Ni 2.41
12 Ta 0.6707 0.8354 0.2500  6 Ta 2.54-2.76
13 Ta 0.8354 0.1646 0.7500  6 Ta 2.54-2.76
14 Ta 0.8354 0.6707 0.7500  6 Ta 2.54-2.76
15 Ni 0.0000 0.5000 0.0000  2 Ta 2.41, 4 Ni 2.57
16 Ni 0.0000 0.5000 0.5000  2 Ta 2.41, 4 Ni 2.57
17 Ni 0.3333 0.6667 0.6544  4 Ni 3.00-3.22, 12 Ta 3.03-3.15
18 Ni 0.3333 0.6667 0.8456  4 Ni 3.00-3.22, 12 Ta 3.03-3.15
19 Ni 0.5000 0.0000 0.0000  2 Ta 2.41, 4 Ni 2.57
20 Ni 0.5000 0.0000 0.5000  2 Ta 2.41, 4 Ni 2.57
21 Ni 0.5000 0.5000 0.0000  2 Ta 2.41, 4 Ni 2.57
22 Ni 0.5000 0.5000 0.5000  2 Ta 2.41, 4 Ni 2.57
23 Ni 0.6667 0.3333 0.1544  4 Ni 3.00-3.22, 12 Ta 3.03-3.15
24 Ni 0.6667 0.3333 0.3456  4 Ni 3.00-3.22, 12 Ta 3.03-3.15

z:
Ta7Ni5: optimized geometry, PBE-GGA.

Cell: 5.1098 5.1098 16.1409 Å, 90.00 90.00 120.00°
With the nearest neighbours (Å) after each atom.
Atoms (fractional coordinates):
1 Ta 0.0000 0.0000 0.1070  6 Ni 2.71-2.98
2 Ta 0.0000 0.0000 0.3930  6 Ni 2.71-2.98
3 Ta 0.0000 0.0000 0.6070  6 Ni 2.71-2.98
4 Ta 0.0000 0.0000 0.8930  6 Ni 2.71-2.98
5 Ta 0.0000 0.5000 0.0000  4 Ta 2.55, 2 Ni 2.61
6 Ta 0.0000 0.5000 0.5000  4 Ta 2.55, 2 Ni 2.61
7 Ta 0.3333 0.6667 0.1628  7 Ta 2.81-3.08, 9 Ni 2.92-2.99
8 Ta 0.3333 0.6667 0.3372  7 Ta 2.81-3.08, 9 Ni 2.92-2.99
9 Ta 0.5000 0.0000 0.0000  4 Ta 2.55, 2 Ni 2.61
10 Ta 0.5000 0.0000 0.5000  4 Ta 2.55, 2 Ni 2.61
11 Ta 0.5000 0.5000 0.0000  4 Ta 2.55, 2 Ni 2.61
12 Ta 0.5000 0.5000 0.5000  4 Ta 2.55, 2 Ni 2.61
13 Ta 0.6667 0.3333 0.6628  7 Ta 2.81-3.08, 9 Ni 2.92-2.99
14 Ta 0.6667 0.3333 0.8372  7 Ta 2.81-3.08, 9 Ni 2.92-2.99
15 Ni 0.1605 0.3210 0.7500  6 Ni 2.43-2.65, 2 Ta 2.71
16 Ni 0.1605 0.8395 0.7500  6 Ni 2.43-2.65, 2 Ta 2.71
17 Ni 0.3210 0.1605 0.2500  6 Ni 2.43-2.65, 2 Ta 2.71
18 Ni 0.3333 0.6667 0.6330  3 Ni 2.43, 3 Ta 2.61
19 Ni 0.3333 0.6667 0.8670  3 Ni 2.43, 3 Ta 2.61
20 Ni 0.6667 0.3333 0.1330  3 Ni 2.43, 3 Ta 2.61
21 Ni 0.6667 0.3333 0.3670  3 Ni 2.43, 3 Ta 2.61
22 Ni 0.6790 0.8395 0.7500  6 Ni 2.43-2.65, 2 Ta 2.71
23 Ni 0.8395 0.1605 0.2500  6 Ni 2.43-2.65, 2 Ta 2.71
24 Ni 0.8395 0.6790 0.2500  6 Ni 2.43-2.65, 2 Ta 2.71

The structure with the most favorable energy is z; the runner-up is 0.259 eV/atom above it.

w:
Ta7Ni5: optimized geometry, PBE-GGA.

Cell: 5.1943 5.1943 16.7703 Å, 90.00 90.00 120.00°
With the nearest neighbours (Å) after each atom.
Atoms (fractional coordinates):
1 Ta 0.1664 0.3328 0.2500  6 Ta 2.59-2.77, 2 Ni 2.78
2 Ta 0.1664 0.8336 0.2500  6 Ta 2.59-2.77, 2 Ni 2.78
3 Ta 0.3328 0.1664 0.7500  6 Ta 2.59-2.77, 2 Ni 2.78
4 Ta 0.3333 0.6667 0.1112  3 Ni 2.39
5 Ta 0.3333 0.6667 0.3888  3 Ni 2.39
6 Ta 0.3333 0.6667 0.6464  6 Ni 2.88-3.06, 9 Ta 3.06-3.12
7 Ta 0.3333 0.6667 0.8536  6 Ni 2.88-3.06, 9 Ta 3.06-3.12
8 Ta 0.6667 0.3333 0.1464  6 Ni 2.88-3.06, 9 Ta 3.06-3.12
9 Ta 0.6667 0.3333 0.3536  6 Ni 2.88-3.06, 9 Ta 3.06-3.12
10 Ta 0.6667 0.3333 0.6112  3 Ni 2.39
11 Ta 0.6667 0.3333 0.8888  3 Ni 2.39
12 Ta 0.6672 0.8336 0.2500  6 Ta 2.59-2.77, 2 Ni 2.78
13 Ta 0.8336 0.1664 0.7500  6 Ta 2.59-2.77, 2 Ni 2.78
14 Ta 0.8336 0.6672 0.7500  6 Ta 2.59-2.77, 2 Ni 2.78
15 Ni 0.0000 0.0000 0.1101  9 Ta 2.78-3.06
16 Ni 0.0000 0.0000 0.3899  9 Ta 2.78-3.06
17 Ni 0.0000 0.0000 0.6101  9 Ta 2.78-3.06
18 Ni 0.0000 0.0000 0.8899  9 Ta 2.78-3.06
19 Ni 0.0000 0.5000 0.0000  2 Ta 2.39, 4 Ni 2.60
20 Ni 0.0000 0.5000 0.5000  2 Ta 2.39, 4 Ni 2.60
21 Ni 0.5000 0.0000 0.0000  2 Ta 2.39, 4 Ni 2.60
22 Ni 0.5000 0.0000 0.5000  2 Ta 2.39, 4 Ni 2.60
23 Ni 0.5000 0.5000 0.0000  2 Ta 2.39, 4 Ni 2.60
24 Ni 0.5000 0.5000 0.5000  2 Ta 2.39, 4 Ni 2.60

x:
Ta7Ni5: optimized geometry, PBE-GGA.

Cell: 5.1096 5.1096 16.1532 Å, 90.00 90.00 120.00°
With the nearest neighbours (Å) after each atom.
Atoms (fractional coordinates):
1 Ta 0.0000 0.0000 0.0874  7 Ta 2.82-3.09, 9 Ni 2.92-2.99
2 Ta 0.0000 0.0000 0.4126  7 Ta 2.82-3.09, 9 Ni 2.92-2.99
3 Ta 0.0000 0.0000 0.5874  7 Ta 2.82-3.09, 9 Ni 2.92-2.99
4 Ta 0.0000 0.0000 0.9126  7 Ta 2.82-3.09, 9 Ni 2.92-2.99
5 Ta 0.1652 0.3304 0.2500  4 Ta 2.53-2.58, 2 Ni 2.61
6 Ta 0.1652 0.8348 0.2500  4 Ta 2.53-2.58, 2 Ni 2.61
7 Ta 0.3304 0.1652 0.7500  4 Ta 2.53-2.58, 2 Ni 2.61
8 Ta 0.3333 0.6667 0.6444  6 Ni 2.76-2.98, 9 Ta 3.07-3.09
9 Ta 0.3333 0.6667 0.8556  6 Ni 2.76-2.98, 9 Ta 3.07-3.09
10 Ta 0.6667 0.3333 0.1444  6 Ni 2.76-2.98, 9 Ta 3.07-3.09
11 Ta 0.6667 0.3333 0.3556  6 Ni 2.76-2.98, 9 Ta 3.07-3.09
12 Ta 0.6696 0.8348 0.2500  4 Ta 2.53-2.58, 2 Ni 2.61
13 Ta 0.8348 0.1652 0.7500  4 Ta 2.53-2.58, 2 Ni 2.61
14 Ta 0.8348 0.6696 0.7500  4 Ta 2.53-2.58, 2 Ni 2.61
15 Ni 0.0000 0.5000 0.0000  6 Ni 2.40-2.55
16 Ni 0.0000 0.5000 0.5000  6 Ni 2.40-2.55
17 Ni 0.3333 0.6667 0.1172  3 Ni 2.40, 3 Ta 2.61
18 Ni 0.3333 0.6667 0.3828  3 Ni 2.40, 3 Ta 2.61
19 Ni 0.5000 0.0000 0.0000  6 Ni 2.40-2.55
20 Ni 0.5000 0.0000 0.5000  6 Ni 2.40-2.55
21 Ni 0.5000 0.5000 0.0000  6 Ni 2.40-2.55
22 Ni 0.5000 0.5000 0.5000  6 Ni 2.40-2.55
23 Ni 0.6667 0.3333 0.6172  3 Ni 2.40, 3 Ta 2.61
24 Ni 0.6667 0.3333 0.8828  3 Ni 2.40, 3 Ta 2.61

The structure with the most favorable energy is x; the runner-up is 0.290 eV/atom above it.

w:
Ta5Ni8: optimized geometry, PBE-GGA.

Cell: 9.1892 9.1892 9.1892 Å, 30.29 30.29 30.29°
With the nearest neighbours (Å) after each atom.
Atoms (fractional coordinates):
1 Ta 0.0000 0.0000 0.0000  6 Ni 2.45
2 Ta 0.1644 0.1644 0.1644  6 Ni 2.72-2.79, 3 Ta 2.78
3 Ta 0.4461 0.4461 0.4461  7 Ni 2.59-2.62, 1 Ta 2.83
4 Ta 0.5539 0.5539 0.5539  7 Ni 2.59-2.62, 1 Ta 2.83
5 Ta 0.8356 0.8356 0.8356  6 Ni 2.72-2.79, 3 Ta 2.78
6 Ni 0.0948 0.0948 0.5826  4 Ni 2.34-2.46, 3 Ta 2.45-2.59
7 Ni 0.0948 0.5826 0.0948  4 Ni 2.34-2.46, 3 Ta 2.45-2.59
8 Ni 0.3463 0.3463 0.3463  4 Ta 2.62-2.79, 12 Ni 2.70-2.92
9 Ni 0.4174 0.9052 0.9052  4 Ni 2.34-2.46, 3 Ta 2.45-2.59
10 Ni 0.5826 0.0948 0.0948  4 Ni 2.34-2.46, 3 Ta 2.45-2.59
11 Ni 0.6537 0.6537 0.6537  4 Ta 2.62-2.79, 12 Ni 2.70-2.92
12 Ni 0.9052 0.4174 0.9052  4 Ni 2.34-2.46, 3 Ta 2.45-2.59
13 Ni 0.9052 0.9052 0.4174  4 Ni 2.34-2.46, 3 Ta 2.45-2.59

x:
Ta5Ni8: optimized geometry, PBE-GGA.

Cell: 9.1112 9.1112 9.1112 Å, 30.69 30.69 30.69°
With the nearest neighbours (Å) after each atom.
Atoms (fractional coordinates):
1 Ta 0.0000 0.0000 0.0000  6 Ni 2.51
2 Ta 0.1641 0.1641 0.1641  6 Ni 2.62-2.70, 3 Ta 2.79
3 Ta 0.3583 0.3583 0.3583  1 Ni 2.49
4 Ta 0.6417 0.6417 0.6417  1 Ni 2.49
5 Ta 0.8359 0.8359 0.8359  6 Ni 2.62-2.70, 3 Ta 2.79
6 Ni 0.0905 0.0905 0.5803  6 Ni 2.36-2.64, 2 Ta 2.51-2.62
7 Ni 0.0905 0.5803 0.0905  6 Ni 2.36-2.64, 2 Ta 2.51-2.62
8 Ni 0.4197 0.9095 0.9095  6 Ni 2.36-2.64, 2 Ta 2.51-2.62
9 Ni 0.4541 0.4541 0.4541  7 Ni 2.39-2.64, 1 Ta 2.49
10 Ni 0.5459 0.5459 0.5459  7 Ni 2.39-2.64, 1 Ta 2.49
11 Ni 0.5803 0.0905 0.0905  6 Ni 2.36-2.64, 2 Ta 2.51-2.62
12 Ni 0.9095 0.4197 0.9095  6 Ni 2.36-2.64, 2 Ta 2.51-2.62
13 Ni 0.9095 0.9095 0.4197  6 Ni 2.36-2.64, 2 Ta 2.51-2.62

The structure with the most favorable energy is w; the runner-up is 0.081 eV/atom above it.